# 1
Computed, not measured: a relaxed Hf2IrPtN crystal at the PBE level of DFT.

Calculated values
The formation energy without anion corrections comes out at 0.558 eV/atom. The calculation puts the electronic total energy at -8.069 eV per atom.

a = 5.186 Å, b = 5.186 Å, c = 3.611 Å
α = 90.00°, β = 90.00°, γ = 90.00°
Fractional coordinates of all 5 atoms:
Hf (0.000, 0.500, 0.000)
Hf (0.500, 0.000, 0.000)
Ir (0.000, 0.000, 0.500)
Pt (0.500, 0.500, 0.000)
N (0.500, 0.500, 0.500)

=====

# 2
Computed, not measured: a relaxed InFeNi2Ge crystal at the PBE level of DFT.

Calculated values
The energy of formation is 0.4369 eV/atom. The calculation puts the electronic total energy at -5.039 eV per atom.

a = 4.351 Å, b = 4.351 Å, c = 4.439 Å
α = 90.00°, β = 90.00°, γ = 90.00°
Fractional coordinates of all 5 atoms:
In (0.000, 0.000, 0.000)
Fe (0.500, 0.500, 0.000)
Ni (0.000, 0.500, 0.500)
Ni (0.500, 0.000, 0.500)
Ge (0.500, 0.500, 0.500)

=====

# 3
Computed, not measured: a relaxed SmYHoTm2 crystal at the PBE level of DFT.

Calculated values
The energy of formation is 0.3812 eV/atom. The calculation puts the electronic total energy at -4.560 eV per atom.

a = 7.057 Å, b = 7.057 Å, c = 7.164 Å
α = 90.00°, β = 90.00°, γ = 107.87°
Fractional coordinates of all 10 atoms:
Sm (0.220, 0.780, 0.750)
Sm (0.780, 0.220, 0.250)
Y (0.228, 0.772, 0.250)
Y (0.772, 0.228, 0.750)
Ho (0.490, 0.510, 0.750)
Ho (0.510, 0.490, 0.250)
Tm (0.190, 0.190, 0.000)
Tm (0.190, 0.190, 0.500)
Tm (0.810, 0.810, 0.000)
Tm (0.810, 0.810, 0.500)

=====

# 4
Computed, not measured: a relaxed ZnRe2Se crystal at the PBE level of DFT.

Calculated values
The formation energy without anion corrections comes out at 0.197 eV/atom. The calculation puts the electronic total energy at -7.217 eV per atom.

a = 2.938 Å, b = 2.938 Å, c = 7.963 Å
α = 90.00°, β = 90.00°, γ = 90.00°
Fractional coordinates of all 4 atoms:
Zn (0.000, 0.000, 0.000)
Re (0.000, 0.000, 0.430)
Re (0.500, 0.500, 0.214)
Se (0.500, 0.500, 0.636)

=====

# 5
Computed, not measured: a relaxed Sn2Te2Se crystal at the PBE level of DFT.

Calculated values
The formation energy without anion corrections comes out at -0.034 eV/atom. The calculation puts the electronic total energy at -3.588 eV per atom.

a = 8.355 Å, b = 8.355 Å, c = 4.191 Å
α = 90.00°, β = 90.00°, γ = 90.00°
Fractional coordinates of all 10 atoms:
Sn (0.183, 0.317, 0.000)
Sn (0.317, 0.817, 0.000)
Sn (0.683, 0.183, 0.000)
Sn (0.817, 0.683, 0.000)
Te (0.138, 0.638, 0.500)
Te (0.362, 0.138, 0.500)
Te (0.638, 0.862, 0.500)
Te (0.862, 0.362, 0.500)
Se (0.000, 0.000, 0.000)
Se (0.500, 0.500, 0.000)

=====

# 6
Computed, not measured: a relaxed CaPmTc2N4 crystal at the PBE level of DFT.

Calculated values
The formation energy without anion corrections comes out at -0.717 eV/atom. The calculation puts the electronic total energy at -8.315 eV per atom.

a = 5.173 Å, b = 5.173 Å, c = 5.173 Å
α = 114.50°, β = 114.50°, γ = 99.83°
Fractional coordinates of all 8 atoms:
Ca (0.000, 0.000, 0.000)
Pm (0.500, 0.500, 0.000)
Tc (0.250, 0.750, 0.500)
Tc (0.750, 0.250, 0.500)
N (0.000, 0.000, 0.500)
N (0.000, 0.500, 0.000)
N (0.500, 0.000, 0.000)
N (0.500, 0.500, 0.500)

=====

# 7
Computed, not measured: a relaxed Zn2Tc crystal at the PBE level of DFT.

Calculated values
The energy of formation is 0.1554 eV/atom. The calculation puts the electronic total energy at -4.149 eV per atom.

a = 6.387 Å, b = 6.387 Å, c = 6.387 Å
α = 155.85°, β = 155.85°, γ = 34.41°
Fractional coordinates of all 3 atoms:
Zn (0.165, 0.165, 0.000)
Zn (0.835, 0.835, 0.000)
Tc (0.500, 0.500, 0.000)

=====

# 8
Computed, not measured: a relaxed TaMnPd2 crystal at the PBE level of DFT.

Calculated values
The energy of formation is 0.2236 eV/atom. The calculation puts the electronic total energy at -7.628 eV per atom.

a = 4.417 Å, b = 4.417 Å, c = 4.417 Å
α = 60.00°, β = 60.00°, γ = 60.00°
Fractional coordinates of all 4 atoms:
Ta (0.000, 0.000, 0.000)
Mn (0.500, 0.500, 0.500)
Pd (0.250, 0.250, 0.250)
Pd (0.750, 0.750, 0.750)

=====

# 9
Computed, not measured: a relaxed BSbMo2 crystal at the PBE level of DFT.

Calculated values
The formation energy without anion corrections comes out at 0.830 eV/atom. The calculation puts the electronic total energy at -7.286 eV per atom.

a = 7.137 Å, b = 7.137 Å, c = 7.137 Å
α = 138.63°, β = 138.63°, γ = 59.94°
Fractional coordinates of all 8 atoms:
B (0.000, 0.000, 0.000)
B (0.750, 0.250, 0.500)
Sb (0.250, 0.750, 0.500)
Sb (0.500, 0.500, 0.000)
Mo (0.375, 0.242, 0.367)
Mo (0.758, 0.125, 0.133)
Mo (0.875, 0.008, 0.633)
Mo (0.992, 0.625, 0.867)

=====

# 10
Computed, not measured: a relaxed TbY3Er12 crystal at the PBE level of DFT.

Calculated values
The energy of formation is 0.0238 eV/atom. The calculation puts the electronic total energy at -4.900 eV per atom.

a = 4.985 Å, b = 4.985 Å, c = 19.938 Å
α = 90.00°, β = 90.00°, γ = 90.00°
Fractional coordinates of all 16 atoms:
Tb (0.000, 0.000, 0.000)
Y (0.000, 0.000, 0.250)
Y (0.000, 0.000, 0.500)
Y (0.000, 0.000, 0.750)
Er (0.000, 0.500, 0.125)
Er (0.000, 0.500, 0.375)
Er (0.000, 0.500, 0.625)
Er (0.000, 0.500, 0.875)
Er (0.500, 0.000, 0.125)
Er (0.500, 0.000, 0.375)
Er (0.500, 0.000, 0.625)
Er (0.500, 0.000, 0.875)
Er (0.500, 0.500, 0.000)
Er (0.500, 0.500, 0.250)
Er (0.500, 0.500, 0.500)
Er (0.500, 0.500, 0.750)

=====

electronic total energy of number 8 (TaMnPd2)? -7.628 eV per atom

=====

Repeat the seventh record exactly.
Computed, not measured: a relaxed Zn2Tc crystal at the PBE level of DFT.

Calculated values
The energy of formation is 0.1554 eV/atom. The calculation puts the electronic total energy at -4.149 eV per atom.

a = 6.387 Å, b = 6.387 Å, c = 6.387 Å
α = 155.85°, β = 155.85°, γ = 34.41°
Fractional coordinates of all 3 atoms:
Zn (0.165, 0.165, 0.000)
Zn (0.835, 0.835, 0.000)
Tc (0.500, 0.500, 0.000)

=====

The lowest electronic total energy belongs to which entry? CaPmTc2N4